[1]
First-principles (PBE-GGA) data for a geometry-optimized Fe2GeH structure, as listed in the Alexandria database.

Results
* density: 7.720 g/cm3
* E: -24.77 eV per cell

Unit cell a=6.0065 b=6.0065 c=6.0065 alpha=27.17 beta=27.17 gamma=27.17
Element x y z (fractional)
Fe: 0.0000 0.0000 0.0000
Fe: 0.2180 0.2180 0.2180
Ge: 0.4418 0.4418 0.4418
H: 0.6144 0.6144 0.6144

***

[2]
First-principles (PBE-GGA) data for a geometry-optimized Fe2Ge2H structure, as listed in the Alexandria database.

Results
* density: 6.047 g/cm3
* E: -25.41 eV per cell
* relative energy among the computed polymorphs: 651.1 meV/atom

Unit cell a=5.8696 b=5.8696 c=5.8696 alpha=143.59 beta=143.59 gamma=52.44
Element x y z (fractional)
Fe: 0.1037 0.1037 0.0000
Fe: 0.8963 0.8963 0.0000
Ge: 0.2500 0.7500 0.5000
Ge: 0.7500 0.2500 0.5000
H: 0.5000 0.5000 0.0000